No. 1
A plane-wave DFT calculation with PBE-GGA was carried out for an optimized crystal structure of AcTbPm2Tm5.

The structure belongs to space group I4/mcm (No. 140); the cell edges are 8.808, 8.808 and 15.381 Å and the angles 90.00°, 90.00° and 90.00°. The asymmetric unit holds Ac at (0.000, 0.000, 0.250), Tb at (0.000, 0.500, 0.250), Pm at (0.116, 0.384, 0.000), Tm at (0.000, 0.000, 0.000) and Tm at (0.207, 0.293, 0.368).

The calculation puts the calculated volume at 1193.2 Å³/cell. The value obtained for the total magnetic moment is 0.00 μB/f.u. As for the formation enthalpy at 0 K: 0.260 eV/atom.

***

No. 2
A plane-wave DFT calculation with PBE-GGA was carried out for an optimized crystal structure of Dy2ZnGa4Pd3.

The structure belongs to space group P-4m2 (No. 115); the cell edges are 4.041, 4.041 and 11.394 Å and the angles 90.00°, 90.00° and 90.00°. The asymmetric unit holds Dy at (0.000, 0.500, 0.248), Zn at (0.000, 0.000, 0.500), Ga at (0.000, 0.000, 0.000), Ga at (0.000, 0.500, 0.639), Ga at (0.500, 0.500, 0.000), Pd at (0.000, 0.500, 0.857) and Pd at (0.500, 0.500, 0.500).

The calculation puts the calculated volume at 186.0 Å³/cell. The value obtained for the total magnetic moment is 0.00 μB/f.u. As for the formation enthalpy at 0 K: -0.711 eV/atom.

***

No. 3
A plane-wave DFT calculation with PBE-GGA was carried out for an optimized crystal structure of TiMn2Zn2.

The structure belongs to space group P4/mbm (No. 127); the cell edges are 7.174, 7.174 and 2.780 Å and the angles 90.00°, 90.00° and 90.00°. The asymmetric unit holds Ti at (0.000, 0.000, 0.000), Mn at (0.126, 0.374, 0.000) and Zn at (0.172, 0.672, 0.500).

The calculation puts the calculated volume at 143.1 Å³/cell. The excess energy over the best structure of this formula in the dataset comes out at 0.00 eV/f.u. The value obtained for the total magnetic moment is 4.10 μB/f.u. As for the formation enthalpy at 0 K: 0.120 eV/atom.

***

No. 4
A plane-wave DFT calculation with PBE-GGA was carried out for an optimized crystal structure of DyMnNi3.

The structure belongs to space group P6_3/mmc (No. 194); the cell edges are 5.7989, 5.7989 and 5.2819 Å and the angles 90.00°, 90.00° and 120.00°. The asymmetric unit holds Dy at (0.3333, 0.6667, 0.2500), Mn at (0.0000, 0.0000, 0.0000) and Ni at (0.1975, 0.3950, 0.7500).

The calculation puts the calculated volume at 153.8 Å³/cell. The value obtained for the total magnetic moment is 3.96 μB/f.u. As for the formation enthalpy at 0 K: -0.106 eV/atom.

***

No. 5
A plane-wave DFT calculation with PBE-GGA was carried out for an optimized crystal structure of Ba2MgSi3Pt4.

The structure belongs to space group P-4m2 (No. 115); the cell edges are 4.450, 4.450 and 10.377 Å and the angles 90.00°, 90.00° and 90.00°. The asymmetric unit holds Ba at (0.000, 0.500, 0.249), Mg at (0.000, 0.000, 0.500), Si at (0.000, 0.500, 0.885), Si at (0.500, 0.500, 0.500), Pt at (0.000, 0.000, 0.000), Pt at (0.000, 0.500, 0.635) and Pt at (0.500, 0.500, 0.000).

The calculation puts the uncorrected formation energy at -803 meV/atom. The calculation puts the calculated volume at 205.5 Å³/cell. The value obtained for the total magnetic moment is 0.00 μB/f.u.

***

No. 6
A plane-wave DFT calculation with PBE-GGA was carried out for an optimized crystal structure of TiTlAu.

The structure belongs to space group C2/m (No. 12); the cell edges are 9.749, 3.149 and 8.266 Å and the angles 90.00°, 97.78° and 90.00°. The asymmetric unit holds Ti at (0.141, 0.000, 0.428), Tl at (0.152, 0.500, 0.113) and Au at (0.093, 0.500, 0.697).

The calculation puts the calculated volume at 251.4 Å³/cell. The value obtained for the total magnetic moment is 0.00 μB/f.u. As for the formation enthalpy at 0 K: -0.053 eV/atom.

***

No. 7
A plane-wave DFT calculation with PBE-GGA was carried out for an optimized crystal structure of La8Ge3RhBr4.

The structure belongs to space group C2/m (No. 12); the cell edges are 15.266, 8.773 and 8.895 Å and the angles 90.00°, 124.83° and 90.00°. The asymmetric unit holds La at (0.010, 0.240, 0.288), La at (0.238, 0.000, 0.719), La at (0.241, 0.500, 0.725), Ge at (0.000, 0.500, 0.500), Ge at (0.250, 0.250, 0.500), Rh at (0.000, 0.000, 0.500), Br at (0.000, 0.000, 0.000), Br at (0.000, 0.500, 0.000) and Br at (0.250, 0.250, 0.000).

The calculation puts the uncorrected formation energy at -1186 meV/atom. The calculation puts the calculated volume at 977.8 Å³/cell. The value obtained for the total magnetic moment is 0.00 μB/f.u.

***

No. 8
A plane-wave DFT calculation with PBE-GGA was carried out for an optimized crystal structure of LiY2PaN4.

The structure belongs to space group P2/m (No. 10); the cell edges are 5.778, 3.543 and 5.899 Å and the angles 90.00°, 106.12° and 90.00°. The asymmetric unit holds Li at (0.000, 0.000, 0.000), Y at (0.000, 0.500, 0.500), Y at (0.500, 0.000, 0.500), Pa at (0.500, 0.500, 0.000), N at (0.253, 0.000, 0.755) and N at (0.290, 0.500, 0.254).

The calculation puts the uncorrected formation energy at -1409 meV/atom. The calculation puts the calculated volume at 116.0 Å³/cell. The value obtained for the total magnetic moment is 0.00 μB/f.u.

***

No. 9
A plane-wave DFT calculation with PBE-GGA was carried out for an optimized crystal structure of ReTeS2.

The structure belongs to space group R-3m (No. 166, hexagonal axes); the cell edges are 3.1475, 3.1475 and 33.6746 Å and the angles 90.00°, 90.00° and 120.00°. The asymmetric unit holds Re at (0.0000, 0.0000, 0.0000), Te at (0.0000, 0.0000, 0.5000) and S at (0.0000, 0.0000, 0.3810).

The calculation puts the uncorrected formation energy at -37 meV/atom. The calculation puts the calculated volume at 288.9 Å³/cell. The value obtained for the total magnetic moment is 0.00 μB/f.u.

***

No. 10
A plane-wave DFT calculation with PBE-GGA was carried out for an optimized crystal structure of Ba6LiH12.

The structure belongs to space group R-3 (No. 148, hexagonal axes); the cell edges are 11.3619, 11.3619 and 10.8491 Å and the angles 90.00°, 90.00° and 120.00°. The asymmetric unit holds Ba at (0.0595, 0.2628, 0.1580), Li at (0.0000, 0.0000, 0.5000), H at (0.0430, 0.2023, 0.4007) and H at (0.0484, 0.2308, 0.9086).

The calculation puts the calculated volume at 1212.9 Å³/cell. As for the calculated total energy: -3.220 eV/atom. The value obtained for the total magnetic moment is 0.00 μB/f.u.